# 1
TaIrSe2 | SCAN | single point on PBEsol structure

Properties
DOS(E_F)   1.7 states/eV/f.u.
Polymorph energy (0 for the lowest one)   0.00 kcal/mol of atoms
Uncorrected energy   -44.740 eV per atom

Lattice parameters (Å, degrees): 3.1366 4.3941 6.3690 97.09 104.25 90.00
Fractional coordinates of all 4 atoms:
1 Ir 0.5000 0.0000 0.0000
2 Se 0.3397 0.2796 0.6794
3 Se 0.6603 0.7204 0.3206
4 Ta 0.0000 0.5000 0.0000



# 2
Ta2IrSe | SCAN | single point on PBEsol structure

Properties
DOS(E_F)   2.3 states/eV/f.u.
Uncorrected energy   -56.054 eV per atom

Lattice parameters (Å, degrees): 3.0668 4.6126 4.9646 100.79 107.99 90.00
Fractional coordinates of all 4 atoms:
1 Ir 0.5000 0.0000 0.0000
2 Se 0.0000 0.5000 0.0000
3 Ta 0.2468 0.2360 0.4935
4 Ta 0.7532 0.7640 0.5065



# 3
TcIrSe2 | SCAN | single point on PBEsol structure

Properties
DOS(E_F)   2.7 states/eV/f.u.
Polymorph energy (0 for the lowest one)   0.00 kcal/mol of atoms
Uncorrected energy   -36.339 eV per atom

Lattice parameters (Å, degrees): 5.4829 5.4829 6.6989 114.16 114.16 90.00
Fractional coordinates of all 8 atoms:
1 Ir 0.2500 0.7500 0.5000
2 Ir 0.0000 0.0000 0.0000
3 Tc 0.7500 0.2500 0.5000
4 Tc 0.5000 0.5000 0.0000
5 Se 0.8720 0.3750 0.2500
6 Se 0.3780 0.8750 0.2500
7 Se 0.6250 0.6220 0.7500
8 Se 0.1250 0.1280 0.7500



# 4
Tc2IrSe2 | SCAN | single point on PBEsol structure

Properties
DOS(E_F)   2.6 states/eV/f.u.
Uncorrected energy   -35.681 eV per atom

Lattice parameters (Å, degrees): 3.7832 3.7832 6.2091 107.74 107.74 90.00
Fractional coordinates of all 5 atoms:
1 Ir 0.0000 0.0000 0.0000
2 Tc 0.3932 0.3932 0.7864
3 Tc 0.6068 0.6068 0.2136
4 Se 0.2500 0.7500 0.5000
5 Se 0.7500 0.2500 0.5000



# 5
TcIrSe2 | SCAN | single point on PBEsol structure

Properties
DOS(E_F)   2.8 states/eV/f.u.
Polymorph energy (0 for the lowest one)   7.25 kcal/mol of atoms
Uncorrected energy   -36.024 eV per atom

Lattice parameters (Å, degrees): 2.6809 5.0706 5.0706 108.01 90.00 90.00
Fractional coordinates of all 4 atoms:
1 Ir 0.0000 0.0000 0.0000
2 Se 0.0000 0.0000 0.5000
3 Se 0.0000 0.5000 0.0000
4 Tc 0.0000 0.5000 0.5000



# 6
TcIrSe2 | SCAN | single point on PBEsol structure

Properties
DOS(E_F)   3.8 states/eV/f.u.
Polymorph energy (0 for the lowest one)   13.43 kcal/mol of atoms
Uncorrected energy   -35.756 eV per atom

Lattice parameters (Å, degrees): 2.8513 2.8513 8.7942 90.00 90.00 118.87
Fractional coordinates of all 4 atoms:
1 Ir 0.5000 0.5000 0.0000
2 Se 0.0000 0.0000 0.2594
3 Se 0.0000 0.0000 0.7406
4 Tc 0.5000 0.5000 0.5000